GGA-PBE NaAl2CdH, optimized geometry; total magnetization = 0.00 μB/cell; theoretical density = 3.82 g/cm3; total energy = -2.44 eV per atom; space group = P4/mmm
1.0
4.3020 0.0000 0.0000
0.0000 4.3020 0.0000
0.0000 0.0000 4.4756
Na Al Cd H
1 2 1 1
Cartesian
0.0000 0.0000 0.0000
0.0000 2.1510 2.2378
2.1510 0.0000 2.2378
2.1510 2.1510 0.0000
0.0000 0.0000 2.2378

***

GGA-PBE TeRh2, optimized geometry; total magnetization = 0.00 μB/cell; theoretical density = 10.47 g/cm3; space group = P-3m1; raw formation energy = -0.0584 eV/atom; excess energy over the best structure of this formula in the dataset = 10.73 kJ/mol of atoms
1.0
4.1951 0.0000 0.0000
-2.0975 3.6330 0.0000
0.0000 0.0000 3.4709
Te Rh
1 2
Cartesian
0.0000 0.0000 0.0000
0.0000 2.4220 2.5669
2.0975 1.2110 0.9040

***

GGA-PBE Ho5Co2Te2, optimized geometry; total magnetization = 0.00 μB/cell; theoretical density = 8.90 g/cm3; space group = Cmce; raw formation energy = -0.6973 eV/atom
1.0
7.7552 -3.8115 0.0000
7.7552 3.8115 0.0000
0.0000 0.0000 7.5587
Ho Co Te
10 4 4
Cartesian
0.0000 0.0000 0.0000
5.9779 2.5755 4.9886
5.9779 1.2361 1.2092
9.5324 2.5755 4.9886
9.5324 1.2361 1.2092
7.7552 0.0000 3.7793
5.9779 -1.2361 6.3495
5.9779 -2.5755 2.5701
9.5324 -1.2361 6.3495
9.5324 -2.5755 2.5701
7.7552 2.8106 2.8028
7.7552 1.0009 6.5822
7.7552 -1.0009 0.9765
7.7552 -2.8106 4.7559
3.2612 0.0000 0.0000
4.4940 0.0000 3.7793
11.0163 0.0000 3.7793
12.2491 0.0000 0.0000